Compound: Zr2HgBiMo
Source: Alexandria via LeMat-Bulk
Functional: meta-GGA SCAN
Structure: PBEsol geometry

Computed properties:
VASP energy   -48.0228 eV/atom
Magnetic moment   0.0 μB per formula unit
Formation enthalpy at 0 K   0.5828 eV per atom

abc: 4.942 4.942 5.233
angles: 90.00 90.00 90.00
Sites, in units of the cell vectors:
Zr1 0.000 0.500 0.000
Zr2 0.500 0.000 0.000
Hg1 0.000 0.000 0.500
Bi1 0.500 0.500 0.500
Mo1 0.000 0.000 0.000

***

Compound: MnFe2Br
Source: Alexandria via LeMat-Bulk
Functional: meta-GGA SCAN
Structure: PBEsol geometry

Computed properties:
VASP energy   -17.9031 eV/atom
Magnetic moment   9.7 μB per formula unit
Energy above the lowest structure with this stoichiometry   59.3 meV/atom
ΔE_f (raw)   0.590 eV per atom

abc: 4.925 4.925 4.925
angles: 137.19 137.19 62.15
Sites, in units of the cell vectors:
Mn1 0.000 0.000 0.000
Fe1 0.250 0.750 0.500
Fe2 0.750 0.250 0.500
Br1 0.500 0.500 0.000